## ZnCd2Si (PBE)

Data for ZnCd2Si after structural relaxation.

abc: 2.8025 5.2725 5.3746
angles: 90.00 90.00 90.00
Space group Pmmm (No. 47)
Asymmetric unit:
Zn 0.0000 0.0000 0.0000 (multiplicity 1)
Cd 0.0000 0.5000 0.5000 (multiplicity 1)
Cd 0.5000 0.5000 0.0000 (multiplicity 1)
Si 0.5000 0.0000 0.5000 (multiplicity 1)

Calculated values
Offset from the most stable computed form, eV per atom: 0.0789
Total magnetic moment, μB/f.u.: 0.0